Entry A
# GGA-PBE PIrBr, optimized geometry
# - N(E_F): 2.2 states/eV per cell
data_PIrBr
_cell_length_a 3.5696
_cell_length_b 3.5696
_cell_length_c 5.7355
_cell_angle_alpha 90.00
_cell_angle_beta 90.00
_cell_angle_gamma 120.00
_symmetry_space_group_name_H-M 'P 3 m 1'
_symmetry_Int_Tables_number 156
_symmetry_space_group_name_Hall 'P 3 -2"'
loop_
_atom_site_label
_atom_site_fract_x
_atom_site_fract_y
_atom_site_fract_z
_atom_site_occupancy
P1 0.0000 0.0000 0.0000 1
Ir1 0.3333 0.6667 0.8234 1
Br1 0.6667 0.3333 0.5071 1

Entry B
# GGA-PBE PIrBr, optimized geometry
# - N(E_F): 10.0 states/eV per cell
data_PIrBr
_cell_length_a 6.0891
_cell_length_b 6.0891
_cell_length_c 6.0891
_cell_angle_alpha 90.00
_cell_angle_beta 90.00
_cell_angle_gamma 90.00
_symmetry_space_group_name_H-M 'F -4 3 m'
_symmetry_Int_Tables_number 216
_symmetry_space_group_name_Hall 'F -4 2 3'
loop_
_atom_site_label
_atom_site_fract_x
_atom_site_fract_y
_atom_site_fract_z
_atom_site_occupancy
P1 0.0000 0.0000 0.0000 1
Ir1 0.2500 0.2500 0.2500 1
Br1 0.0000 0.0000 0.5000 1

Entry C
# GGA-PBE PIrBr, optimized geometry
# - N(E_F): 12.2 states/eV per cell
data_PIrBr
_cell_length_a 6.1309
_cell_length_b 6.1309
_cell_length_c 6.1309
_cell_angle_alpha 90.00
_cell_angle_beta 90.00
_cell_angle_gamma 90.00
_symmetry_space_group_name_H-M 'F -4 3 m'
_symmetry_Int_Tables_number 216
_symmetry_space_group_name_Hall 'F -4 2 3'
loop_
_atom_site_label
_atom_site_fract_x
_atom_site_fract_y
_atom_site_fract_z
_atom_site_occupancy
P1 0.0000 0.0000 0.0000 1
Ir1 0.2500 0.2500 0.2500 1
Br1 0.2500 0.2500 0.7500 1

Entry D
# GGA-PBE PIrBr, optimized geometry
# - N(E_F): 3.6 states/eV per cell
data_PIrBr
_cell_length_a 3.0058
_cell_length_b 3.4498
_cell_length_c 11.5393
_cell_angle_alpha 90.00
_cell_angle_beta 90.00
_cell_angle_gamma 90.00
_symmetry_space_group_name_H-M 'I m m 2'
_symmetry_Int_Tables_number 44
_symmetry_space_group_name_Hall 'I 2 -2'
loop_
_atom_site_label
_atom_site_fract_x
_atom_site_fract_y
_atom_site_fract_z
_atom_site_occupancy
P1 0.0000 0.0000 0.0000 1
Ir1 0.0000 0.0000 0.4400 1
Br1 0.0000 0.0000 0.2105 1

Of them, the most stable is entry A and the least stable is entry C.

Entry A
# GGA-PBE PIrBr3, optimized geometry
# - N(E_F): 5.3 states/eV per cell
data_PIrBr3
_cell_length_a 5.0910
_cell_length_b 5.0910
_cell_length_c 5.0910
_cell_angle_alpha 90.00
_cell_angle_beta 90.00
_cell_angle_gamma 90.00
_symmetry_space_group_name_H-M 'P m -3 m'
_symmetry_Int_Tables_number 221
_symmetry_space_group_name_Hall '-P 4 2 3'
loop_
_atom_site_label
_atom_site_fract_x
_atom_site_fract_y
_atom_site_fract_z
_atom_site_occupancy
P1 0.0000 0.0000 0.0000 1
Ir1 0.5000 0.5000 0.5000 1
Br1 0.0000 0.5000 0.5000 1

Entry B
# GGA-PBE PIrBr3, optimized geometry
# - N(E_F): 7.1 states/eV per cell
data_PIrBr3
_cell_length_a 5.0820
_cell_length_b 5.0820
_cell_length_c 5.0820
_cell_angle_alpha 90.00
_cell_angle_beta 90.00
_cell_angle_gamma 90.00
_symmetry_space_group_name_H-M 'P m -3 m'
_symmetry_Int_Tables_number 221
_symmetry_space_group_name_Hall '-P 4 2 3'
loop_
_atom_site_label
_atom_site_fract_x
_atom_site_fract_y
_atom_site_fract_z
_atom_site_occupancy
P1 0.0000 0.0000 0.0000 1
Ir1 0.5000 0.5000 0.5000 1
Br1 0.0000 0.0000 0.5000 1

Of them, the most stable is entry A and the least stable is entry B.

Entry A
# GGA-PBE P2IrSBr, optimized geometry
# - N(E_F): 4.4 states/eV per cell
data_P2IrSBr
_cell_length_a 4.7326
_cell_length_b 4.7326
_cell_length_c 4.5337
_cell_angle_alpha 90.00
_cell_angle_beta 90.00
_cell_angle_gamma 90.00
_symmetry_space_group_name_H-M 'P 4/m m m'
_symmetry_Int_Tables_number 123
_symmetry_space_group_name_Hall '-P 4 2'
loop_
_atom_site_label
_atom_site_fract_x
_atom_site_fract_y
_atom_site_fract_z
_atom_site_occupancy
P1 0.0000 0.5000 0.0000 1
Ir1 0.0000 0.0000 0.5000 1
S1 0.5000 0.5000 0.5000 1
Br1 0.5000 0.5000 0.0000 1

Entry B
# GGA-PBE P2IrSBr, optimized geometry
# - N(E_F): 5.6 states/eV per cell
data_P2IrSBr
_cell_length_a 4.5589
_cell_length_b 4.5589
_cell_length_c 5.0182
_cell_angle_alpha 90.00
_cell_angle_beta 90.00
_cell_angle_gamma 90.00
_symmetry_space_group_name_H-M 'P 4/m m m'
_symmetry_Int_Tables_number 123
_symmetry_space_group_name_Hall '-P 4 2'
loop_
_atom_site_label
_atom_site_fract_x
_atom_site_fract_y
_atom_site_fract_z
_atom_site_occupancy
P1 0.0000 0.5000 0.0000 1
Ir1 0.0000 0.0000 0.0000 1
S1 0.0000 0.0000 0.5000 1
Br1 0.5000 0.5000 0.5000 1

Of them, the most stable is entry B and the least stable is entry A.